[1]
DFT (PBE) results for a relaxed ScHgOs2 crystal.

Properties
Formation energy: 0.409 eV/atom
Total moment: 1.0 μB/cell

a = 4.576 Å, b = 4.576 Å, c = 4.576 Å
α = 60.00°, β = 60.00°, γ = 60.00°
Fractional coordinates of all 4 atoms:
Sc 0.000 0.000 0.000
Hg 0.250 0.250 0.250
Os 0.500 0.500 0.500
Os 0.750 0.750 0.750



[2]
DFT (PBE) results for a relaxed TlHg3OsSe4 crystal.

Properties
Total moment: 0.0 μB/cell
VASP energy: -3.025 eV/atom

a = 7.226 Å, b = 7.226 Å, c = 7.226 Å
α = 90.00°, β = 90.00°, γ = 90.00°
Fractional coordinates of all 9 atoms:
Tl 0.000 0.000 0.000
Hg 0.000 0.500 0.500
Hg 0.500 0.000 0.500
Hg 0.500 0.500 0.000
Os 0.500 0.500 0.500
Se 0.315 0.315 0.315
Se 0.315 0.685 0.685
Se 0.685 0.315 0.685
Se 0.685 0.685 0.315



[3]
DFT (PBE) results for a relaxed Sm2HgOs2 crystal.

Properties
Formation energy: 0.542 eV/atom
Total moment: 0.0 μB/cell

a = 5.608 Å, b = 5.608 Å, c = 5.608 Å
α = 117.88°, β = 117.88°, γ = 93.72°
Fractional coordinates of all 5 atoms:
Sm 0.000 0.500 0.500
Sm 0.500 0.000 0.500
Hg 0.000 0.000 0.000
Os 0.349 0.349 0.000
Os 0.651 0.651 0.000



[4]
DFT (PBE) results for a relaxed SnHgOs2 crystal.

Properties
Total moment: 0.0 μB/cell
VASP energy: -5.660 eV/atom

a = 4.647 Å, b = 4.647 Å, c = 4.647 Å
α = 60.00°, β = 60.00°, γ = 60.00°
Fractional coordinates of all 4 atoms:
Sn 0.000 0.000 0.000
Hg 0.250 0.250 0.250
Os 0.500 0.500 0.500
Os 0.750 0.750 0.750



[5]
DFT (PBE) results for a relaxed Sn2HgOs crystal.

Properties
Total moment: 0.0 μB/cell
VASP energy: -4.091 eV/atom

a = 4.929 Å, b = 4.929 Å, c = 4.929 Å
α = 60.00°, β = 60.00°, γ = 60.00°
Fractional coordinates of all 4 atoms:
Sn 0.000 0.000 0.000
Sn 0.250 0.250 0.250
Hg 0.750 0.750 0.750
Os 0.500 0.500 0.500



[6]
DFT (PBE) results for a relaxed TbHgOs crystal.

Properties
Formation energy: 0.379 eV/atom
Total moment: 0.5 μB/cell

a = 4.676 Å, b = 4.676 Å, c = 4.676 Å
α = 60.00°, β = 60.00°, γ = 60.00°
Fractional coordinates of all 3 atoms:
Tb 0.000 0.000 0.000
Hg 0.500 0.500 0.500
Os 0.750 0.750 0.750



[7]
DFT (PBE) results for a relaxed Tb4HgOs crystal.

Properties
Formation energy: -0.332 eV/atom
Total moment: 0.0 μB/cell

a = 7.709 Å, b = 7.709 Å, c = 6.232 Å
α = 98.52°, β = 98.52°, γ = 112.42°
Fractional coordinates of all 12 atoms:
Tb 0.064 0.724 0.959
Tb 0.205 0.360 0.594
Tb 0.276 0.936 0.541
Tb 0.360 0.205 0.094
Tb 0.640 0.795 0.906
Tb 0.724 0.064 0.459
Tb 0.795 0.640 0.406
Tb 0.936 0.276 0.041
Hg 0.373 0.627 0.250
Hg 0.627 0.373 0.750
Os 0.001 0.999 0.750
Os 0.999 0.001 0.250



[8]
DFT (PBE) results for a relaxed HgTeOs crystal.

Properties
Total moment: 0.0 μB/cell
VASP energy: -4.181 eV/atom

a = 4.567 Å, b = 4.567 Å, c = 4.567 Å
α = 60.00°, β = 60.00°, γ = 60.00°
Fractional coordinates of all 3 atoms:
Hg 0.000 0.000 0.000
Te 0.500 0.500 0.500
Os 0.250 0.250 0.250